Below is a relaxed structure of Nd3Mg5O12, with properties calculated at the PBE level.

Output
Calculated density in g/cm3: 4.63
Formation energy from raw total energies in eV/atom: -2.3152
Final energy in eV for the cell shown: -512.3

abc: 11.160 11.160 11.160
angles: 109.47 109.47 109.47
Fractional positions:
Nd (0.125, 0.250, 0.375)
Nd (0.125, 0.375, 0.750)
Nd (0.250, 0.375, 0.125)
Nd (0.250, 0.875, 0.625)
Nd (0.375, 0.125, 0.250)
Nd (0.375, 0.750, 0.125)
Nd (0.625, 0.250, 0.875)
Nd (0.625, 0.875, 0.750)
Nd (0.750, 0.125, 0.375)
Nd (0.750, 0.625, 0.875)
Nd (0.875, 0.625, 0.250)
Nd (0.875, 0.750, 0.625)
Mg (0.000, 0.000, 0.000)
Mg (0.000, 0.000, 0.500)
Mg (0.000, 0.500, 0.000)
Mg (0.000, 0.500, 0.500)
Mg (0.125, 0.750, 0.875)
Mg (0.125, 0.875, 0.250)
Mg (0.250, 0.125, 0.875)
Mg (0.250, 0.625, 0.375)
Mg (0.375, 0.250, 0.625)
Mg (0.375, 0.625, 0.750)
Mg (0.500, 0.000, 0.000)
Mg (0.500, 0.000, 0.500)
Mg (0.500, 0.500, 0.000)
Mg (0.500, 0.500, 0.500)
Mg (0.625, 0.375, 0.250)
Mg (0.625, 0.750, 0.375)
Mg (0.750, 0.375, 0.625)
Mg (0.750, 0.875, 0.125)
Mg (0.875, 0.125, 0.750)
Mg (0.875, 0.250, 0.125)
O (0.034, 0.212, 0.124)
O (0.034, 0.322, 0.910)
O (0.088, 0.712, 0.678)
O (0.088, 0.876, 0.410)
O (0.090, 0.624, 0.412)
O (0.090, 0.966, 0.678)
O (0.124, 0.034, 0.212)
O (0.124, 0.590, 0.912)
O (0.178, 0.212, 0.588)
O (0.178, 0.466, 0.590)
O (0.212, 0.124, 0.034)
O (0.212, 0.588, 0.178)
O (0.288, 0.322, 0.912)
O (0.288, 0.466, 0.376)
O (0.322, 0.910, 0.034)
O (0.322, 0.912, 0.288)
O (0.376, 0.288, 0.466)
O (0.376, 0.588, 0.910)
O (0.410, 0.088, 0.876)
O (0.410, 0.822, 0.534)
O (0.412, 0.090, 0.624)
O (0.412, 0.822, 0.788)
O (0.466, 0.376, 0.288)
O (0.466, 0.590, 0.178)
O (0.534, 0.410, 0.822)
O (0.534, 0.624, 0.712)
O (0.588, 0.178, 0.212)
O (0.588, 0.910, 0.376)
O (0.590, 0.178, 0.466)
O (0.590, 0.912, 0.124)
O (0.624, 0.412, 0.090)
O (0.624, 0.712, 0.534)
O (0.678, 0.088, 0.712)
O (0.678, 0.090, 0.966)
O (0.712, 0.534, 0.624)
O (0.712, 0.678, 0.088)
O (0.788, 0.412, 0.822)
O (0.788, 0.876, 0.966)
O (0.822, 0.534, 0.410)
O (0.822, 0.788, 0.412)
O (0.876, 0.410, 0.088)
O (0.876, 0.966, 0.788)
O (0.910, 0.034, 0.322)
O (0.910, 0.376, 0.588)
O (0.912, 0.124, 0.590)
O (0.912, 0.288, 0.322)
O (0.966, 0.678, 0.090)
O (0.966, 0.788, 0.876)


Below is a relaxed structure of NdMgO, with properties calculated at the PBE level.

Output
Calculated density in g/cm3: 4.17
Formation energy from raw total energies in eV/atom: -1.6850
Final energy in eV for the cell shown: -32.8

abc: 11.661 11.661 11.661
angles: 19.00 19.00 19.00
Fractional positions:
Nd (0.121, 0.121, 0.121)
Nd (0.879, 0.879, 0.879)
Mg (0.298, 0.298, 0.298)
Mg (0.702, 0.702, 0.702)
O (0.193, 0.193, 0.193)
O (0.807, 0.807, 0.807)


Below is a relaxed structure of Nd3MgO, with properties calculated at the PBE level.

Output
Calculated density in g/cm3: 6.19
Formation energy from raw total energies in eV/atom: -1.1738
Final energy in eV for the cell shown: -26.7

abc: 5.024 5.024 5.024
angles: 90.00 90.00 90.00
Fractional positions:
Nd (0.000, 0.000, 0.500)
Nd (0.000, 0.500, 0.000)
Nd (0.500, 0.000, 0.000)
Mg (0.500, 0.500, 0.500)
O (0.000, 0.000, 0.000)